Crystalline Nd4Ge2Cl at its relaxed geometry, computed with PBE.

Computed properties:
- Space-group type: I-42d, No. 122
- DOS(E_F): 6.45 states/eV/f.u.
- Uncorrected formation energy: -0.94 eV/atom
- Magnetization: 0.00 μB per formula unit

a b c (Å): 7.868 7.868 7.868
angles (deg): 110.80 106.85 110.80
Fractional positions:
Nd 0.508 0.116 0.243
Nd 0.993 0.616 0.758
Nd 0.608 0.735 0.492
Nd 0.242 0.235 0.858
Nd 0.757 0.265 0.873
Nd 0.623 0.765 0.007
Nd 0.142 0.384 0.377
Nd 0.127 0.884 0.392
Cl 0.750 0.500 0.250
Cl 0.000 0.000 0.000
Ge 0.252 0.627 0.125
Ge 0.498 0.373 0.625
Ge 0.875 0.127 0.502
Ge 0.375 0.873 0.748